## HoPuTl (PBE-GGA)

Data for HoPuTl after structural relaxation.

abc: 5.3162 5.3162 3.4379
angles: 90.00 90.00 120.00
Positions (direct):
Ho1 0.0000 0.0000 0.0000
Pu1 0.6667 0.3333 0.5714
Tl1 0.3333 0.6667 0.2509

Computed properties:
Formation energy from the elements (eV/atom): 0.0110
Space-group type: P3m1
Density of states at the Fermi level (states/eV/atom): 2.197
Calculated volume (Å³ per atom): 28.05
Offset from the most stable computed form (meV per atom): 33
Spin magnetization (μB per formula unit): 6.1

=====

## Pr7Ho12Pb (PBE-GGA)

Data for Pr7Ho12Pb after structural relaxation.

abc: 8.7847 8.7894 8.7907
angles: 89.14 89.08 89.17
Positions (direct):
Pr1 0.0000 0.0000 0.0000
Pr2 0.1239 0.2708 0.7149
Pr3 0.2701 0.7147 0.1239
Pr4 0.2851 0.8759 0.7295
Pr5 0.7149 0.1241 0.2705
Pr6 0.7299 0.2853 0.8761
Pr7 0.8761 0.7292 0.2851
Ho1 0.0390 0.3781 0.1582
Ho2 0.1582 0.0386 0.3783
Ho3 0.1626 0.6131 0.4941
Ho4 0.3785 0.1582 0.0384
Ho5 0.3875 0.5059 0.8374
Ho6 0.4942 0.1626 0.6130
Ho7 0.5058 0.8374 0.3870
Ho8 0.6125 0.4941 0.1626
Ho9 0.6215 0.8418 0.9616
Ho10 0.8374 0.3869 0.5059
Ho11 0.8418 0.9614 0.6217
Ho12 0.9610 0.6219 0.8418
Pb1 0.5000 0.5000 0.5000

Computed properties:
Formation energy from the elements (eV/atom): 0.1607
Space-group type: P-1
Density of states at the Fermi level (states/eV/atom): 1.691
Calculated volume (Å³ per atom): 33.93
Spin magnetization (μB per formula unit): 0.0

=====

## AcNiGePt3 (PBE-GGA)

Data for AcNiGePt3 after structural relaxation.

abc: 6.8875 6.8875 5.8285
angles: 90.00 90.00 119.16
Positions (direct):
Ac1 0.2305 0.7695 0.7500
Ac2 0.7695 0.2305 0.2500
Ni1 0.4728 0.5272 0.7500
Ni2 0.5272 0.4728 0.2500
Ge1 0.1173 0.8827 0.2500
Ge2 0.8827 0.1173 0.7500
Pt1 0.2115 0.2115 0.0000
Pt2 0.2115 0.2115 0.5000
Pt3 0.3188 0.6812 0.2500
Pt4 0.6812 0.3188 0.7500
Pt5 0.7885 0.7885 0.0000
Pt6 0.7885 0.7885 0.5000

Computed properties:
Formation energy from the elements (eV/atom): -0.5660
Space-group type: Cmcm
Density of states at the Fermi level (states/eV/atom): 0.809
Calculated volume (Å³ per atom): 20.12
Spin magnetization (μB per formula unit): 0.0

=====

## CePr2Hg (PBE-GGA)

Data for CePr2Hg after structural relaxation.

abc: 5.4921 5.4921 5.4921
angles: 60.00 60.00 60.00
Positions (direct):
Ce1 0.0000 0.0000 0.0000
Pr1 0.2500 0.2500 0.2500
Pr2 0.7500 0.7500 0.7500
Hg1 0.5000 0.5000 0.5000

Computed properties:
Formation energy from the elements (eV/atom): -0.0140
Space-group type: Fm-3m
Density of states at the Fermi level (states/eV/atom): 2.085
Calculated volume (Å³ per atom): 29.28
Offset from the most stable computed form (meV per atom): 174
Spin magnetization (μB per formula unit): 2.4

=====

## Ac2RuBr (PBE-GGA)

Data for Ac2RuBr after structural relaxation.

abc: 8.7136 8.7136 8.7136
angles: 28.50 28.50 28.50
Positions (direct):
Ac1 0.0000 0.0000 0.0000
Ac2 0.2047 0.2047 0.2047
Ru1 0.6033 0.6033 0.6033
Br1 0.4336 0.4336 0.4336

Computed properties:
Space-group type: R3m
Density of states at the Fermi level (states/eV/atom): 0.644
Calculated volume (Å³ per atom): 33.29
Offset from the most stable computed form (meV per atom): 19
Spin magnetization (μB per formula unit): 0.0
Formation energy from raw total energies (eV/atom): -0.797

=====

## NaSr2OsN (PBE-GGA)

Data for NaSr2OsN after structural relaxation.

abc: 5.5887 5.5887 3.8518
angles: 90.00 90.00 90.00
Positions (direct):
Na1 0.0000 0.0000 0.0000
Sr1 0.0000 0.5000 0.5000
Sr2 0.5000 0.0000 0.5000
Os1 0.5000 0.5000 0.0000
N1 0.5000 0.5000 0.5000

Computed properties:
Space-group type: P4/mmm
Density of states at the Fermi level (states/eV/atom): 0.460
Calculated volume (Å³ per atom): 24.06
Spin magnetization (μB per formula unit): 0.0
Formation energy from raw total energies (eV/atom): -0.165

=====

## Ac2TaS6 (PBE-GGA)

Data for Ac2TaS6 after structural relaxation.

abc: 6.1987 7.7858 10.9859
angles: 90.00 121.84 90.00
Positions (direct):
Ac1 0.2082 0.1056 0.2612
Ac2 0.2082 0.3944 0.7612
Ac3 0.7918 0.6056 0.2388
Ac4 0.7918 0.8944 0.7388
Ta1 0.5000 0.0000 0.0000
Ta2 0.5000 0.5000 0.5000
S1 0.1262 0.1596 0.9592
S2 0.1262 0.3404 0.4592
S3 0.2951 0.7154 0.9560
S4 0.2951 0.7846 0.4560
S5 0.3249 0.0222 0.7430
S6 0.3249 0.4778 0.2430
S7 0.6751 0.5222 0.7570
S8 0.6751 0.9778 0.2570
S9 0.7049 0.2154 0.5440
S10 0.7049 0.2846 0.0440
S11 0.8738 0.6596 0.5408
S12 0.8738 0.8404 0.0408

Computed properties:
Space-group type: P2_1/c
Density of states at the Fermi level (states/eV/atom): 0.706
Calculated volume (Å³ per atom): 25.02
Spin magnetization (μB per formula unit): 0.0
Formation energy from raw total energies (eV/atom): -1.524

=====

## BH4Br (PBE-GGA)

Data for BH4Br after structural relaxation.

abc: 17.2634 17.2634 2.4630
angles: 90.44 90.44 166.50
Positions (direct):
B1 0.0212 0.9788 0.7500
B2 0.9788 0.0212 0.2500
H1 0.1483 0.7090 0.1457
H2 0.1850 0.2687 0.4214
H3 0.2687 0.1850 0.9214
H4 0.2910 0.8517 0.3543
H5 0.7090 0.1483 0.6457
H6 0.7313 0.8150 0.0786
H7 0.8150 0.7313 0.5786
H8 0.8517 0.2910 0.8543
Br1 0.3696 0.6304 0.7500
Br2 0.6304 0.3696 0.2500

Computed properties:
Space-group type: C2/c
Density of states at the Fermi level (states/eV/atom): 0.329
Calculated volume (Å³ per atom): 14.25
Offset from the most stable computed form (meV per atom): 0
Spin magnetization (μB per formula unit): 0.2

=====

## LuHfCdRh (PBE-GGA)

Data for LuHfCdRh after structural relaxation.

abc: 4.8666 4.8666 4.8666
angles: 60.00 60.00 60.00
Positions (direct):
Lu1 0.0000 0.0000 0.0000
Hf1 0.5000 0.5000 0.5000
Cd1 0.2500 0.2500 0.2500
Rh1 0.7500 0.7500 0.7500

Computed properties:
Formation energy from the elements (eV/atom): -0.3914
Space-group type: F-43m
Density of states at the Fermi level (states/eV/atom): 0.925
Calculated volume (Å³ per atom): 20.37
Spin magnetization (μB per formula unit): 0.0

=====

## TiAgTeO6 (PBE-GGA)

Data for TiAgTeO6 after structural relaxation.

abc: 5.2500 5.2500 9.6342
angles: 90.00 90.00 120.00
Positions (direct):
Ti1 0.3333 0.6667 0.2500
Ti2 0.6667 0.3333 0.7500
Ag1 0.0000 0.0000 0.0000
Ag2 0.0000 0.0000 0.5000
Te1 0.3333 0.6667 0.7500
Te2 0.6667 0.3333 0.2500
O1 0.0039 0.3728 0.6403
O2 0.0039 0.6311 0.8597
O3 0.3689 0.3728 0.8597
O4 0.3689 0.9961 0.6403
O5 0.3728 0.0039 0.1403
O6 0.3728 0.3689 0.3597
O7 0.6272 0.6311 0.6403
O8 0.6272 0.9961 0.8597
O9 0.6311 0.0039 0.3597
O10 0.6311 0.6272 0.1403
O11 0.9961 0.3689 0.1403
O12 0.9961 0.6272 0.3597

Computed properties:
Space-group type: P-31c
Density of states at the Fermi level (states/eV/atom): 0.475
Calculated volume (Å³ per atom): 12.78
Spin magnetization (μB per formula unit): 0.0
Formation energy from raw total energies (eV/atom): -1.379

=====

## Cs2Hg3I8O (PBE-GGA)

Data for Cs2Hg3I8O after structural relaxation.

abc: 11.7406 11.7406 8.7996
angles: 97.65 97.65 141.48
Positions (direct):
Cs1 0.1223 0.8777 0.0000
Cs2 0.8777 0.1223 0.0000
Hg1 0.1501 0.5412 0.6574
Hg2 0.2300 0.2300 0.5637
Hg3 0.5412 0.1501 0.6574
I1 0.1288 0.7417 0.5233
I2 0.3028 0.3028 0.8956
I3 0.3241 0.7081 0.9998
I4 0.3270 0.5269 0.4726
I5 0.5269 0.3270 0.4726
I6 0.7081 0.3241 0.9998
I7 0.7417 0.1288 0.5233
I8 0.8689 0.8689 0.2882
O1 0.9410 0.9410 0.1046

Computed properties:
Space-group type: Cm
Calculated volume (Å³ per atom): 49.36
Spin magnetization (μB per formula unit): 0.1
Formation energy from raw total energies (eV/atom): -0.624

=====

## NbPdS2Cl (PBE-GGA)

Data for NbPdS2Cl after structural relaxation.

abc: 4.7185 4.7185 4.6305
angles: 90.00 90.00 90.00
Positions (direct):
Nb1 0.0000 0.0000 0.0000
Pd1 0.5000 0.5000 0.5000
S1 0.0000 0.5000 0.5000
S2 0.5000 0.0000 0.5000
Cl1 0.5000 0.5000 0.0000

Computed properties:
Space-group type: P4/mmm
Density of states at the Fermi level (states/eV/atom): 1.085
Calculated volume (Å³ per atom): 20.62
Offset from the most stable computed form (meV per atom): 584
Spin magnetization (μB per formula unit): 2.3
Formation energy from raw total energies (eV/atom): 0.492

=====

## ZrMn2Au (PBE-GGA)

Data for ZrMn2Au after structural relaxation.

abc: 4.1499 4.1499 3.7565
angles: 90.00 90.00 90.00
Positions (direct):
Zr1 0.0000 0.0000 0.0000
Mn1 0.0000 0.5000 0.5000
Mn2 0.5000 0.0000 0.5000
Au1 0.5000 0.5000 0.0000

Computed properties:
Formation energy from the elements (eV/atom): -0.0904
Space-group type: P4/mmm
Density of states at the Fermi level (states/eV/atom): 0.698
Calculated volume (Å³ per atom): 16.17
Offset from the most stable computed form (meV per atom): 20
Spin magnetization (μB per formula unit): 4.9

=====

## KMn2P (PBE-GGA)

Data for KMn2P after structural relaxation.

abc: 2.9138 5.0459 5.2675
angles: 90.00 90.00 90.00
Positions (direct):
K1 0.0000 0.0000 0.0000
Mn1 0.0000 0.5000 0.5000
Mn2 0.5000 0.5000 0.0000
P1 0.5000 0.0000 0.5000

Computed properties:
Formation energy from the elements (eV/atom): 0.8576
Space-group type: Pmmm
Density of states at the Fermi level (states/eV/atom): 0.740
Calculated volume (Å³ per atom): 19.36
Spin magnetization (μB per formula unit): 8.1

=====

## Ho6As3Se2S (PBE-GGA)

Data for Ho6As3Se2S after structural relaxation.

abc: 9.0720 9.0720 8.1057
angles: 102.90 102.90 25.84
Positions (direct):
Ho1 0.0030 0.0030 0.2528
Ho2 0.3350 0.3350 0.4248
Ho3 0.3365 0.3365 0.9095
Ho4 0.6635 0.6635 0.0905
Ho5 0.6650 0.6650 0.5752
Ho6 0.9970 0.9970 0.7472
As1 0.1681 0.1681 0.3346
As2 0.5000 0.5000 0.0000
As3 0.8319 0.8319 0.6654
Se1 0.1664 0.1664 0.8337
Se2 0.8336 0.8336 0.1663
S1 0.5000 0.5000 0.5000

Computed properties:
Space-group type: C2/m
Density of states at the Fermi level (states/eV/atom): 0.350
Calculated volume (Å³ per atom): 23.58
Spin magnetization (μB per formula unit): 0.0
Formation energy from raw total energies (eV/atom): -1.717